(1)
Sc2CrW after structural relaxation, computed with PBE-GGA.

Results
formation energy from the elements: 0.3472 eV/atom
calculated density: 7.77 g cm⁻³
crystal system: cubic
E above lowest polymorph: 223.0 meV per atom
D(E_F): 23.6 states/eV/cell
DFT total energy: -8.4627 eV/atom

a = 6.5308 Å, b = 6.5308 Å, c = 6.5308 Å
α = 90.00°, β = 90.00°, γ = 90.00°
Closest atoms and distances in Å follow each position.
Space group F-43m (No. 216)
One atom of each set of equivalent atoms:
Sc 0.0000 0.0000 0.0000 (multiplicity 4)  4 Sc 2.83, 4 W 2.83
Sc 0.2500 0.2500 0.2500 (multiplicity 4)  4 Cr 2.83, 4 Sc 2.83
Cr 0.0000 0.0000 0.5000 (multiplicity 4)  4 W 2.83, 4 Sc 2.83
W 0.2500 0.2500 0.7500 (multiplicity 4)  4 Cr 2.83, 4 Sc 2.83



(2)
ScCr2W after structural relaxation, computed with PBE-GGA.

Results
formation energy from the elements: 0.3303 eV/atom
calculated density: 9.12 g cm⁻³
crystal system: monoclinic
E above lowest polymorph: 123.1 meV per atom
D(E_F): 4.9 states/eV/cell
DFT total energy: -9.3025 eV/atom

a = 2.7268 Å, b = 4.1747 Å, c = 5.3987 Å
α = 90.00°, β = 99.57°, γ = 90.00°
Closest atoms and distances in Å follow each position.
Space group P2/m (No. 10)
One atom of each set of equivalent atoms:
Sc 0.0000 0.0000 0.0000 (multiplicity 1)  2 Sc 2.73, 4 Cr 2.73, 2 W 2.81
Cr 0.2605 0.5000 0.7222 (multiplicity 2)  2 W 2.55, 3 Cr 2.58-2.73, 2 Sc 2.73
W 0.5000 0.0000 0.5000 (multiplicity 1)  4 Cr 2.55, 2 W 2.73, 2 Sc 2.81



(3)
Y2Sc2Cr after structural relaxation, computed with PBE-GGA.

Results
formation energy from the elements: 0.3418 eV/atom
calculated density: 4.09 g cm⁻³
crystal system: tetragonal
D(E_F): 15.4 states/eV/cell
DFT total energy: -6.7011 eV/atom

a = 7.0315 Å, b = 7.0315 Å, c = 5.2531 Å
α = 90.00°, β = 90.00°, γ = 90.00°
Closest atoms and distances in Å follow each position.
Space group P4/mbm (No. 127)
One atom of each set of equivalent atoms:
Y 0.1702 0.3298 0.0000 (multiplicity 4)  6 Sc 3.19-3.46, 1 Y 3.38
Sc 0.1483 0.6483 0.5000 (multiplicity 4)  2 Cr 2.68, 1 Sc 2.95
Cr 0.0000 0.0000 0.5000 (multiplicity 2)  4 Sc 2.68



(4)
Y2ScCr after structural relaxation, computed with PBE-GGA.

Results
formation energy from the elements: 0.2384 eV/atom
calculated density: 4.41 g cm⁻³
crystal system: tetragonal
E above lowest polymorph: 40.8 meV per atom
D(E_F): 5.1 states/eV/cell
DFT total energy: -6.9824 eV/atom

a = 3.6050 Å, b = 3.6050 Å, c = 7.9646 Å
α = 90.00°, β = 90.00°, γ = 90.00°
Closest atoms and distances in Å follow each position.
Space group P4/mmm (No. 123)
One atom of each set of equivalent atoms:
Y 0.0000 0.0000 0.2169 (multiplicity 2)  4 Cr 3.08, 4 Sc 3.40
Sc 0.5000 0.5000 0.5000 (multiplicity 1)  8 Y 3.40, 4 Sc 3.60
Cr 0.5000 0.5000 0.0000 (multiplicity 1)  8 Y 3.08



(5)
Y2ScCr after structural relaxation, computed with PBE-GGA.

Results
formation energy from the elements: 0.5452 eV/atom
calculated density: 4.26 g cm⁻³
crystal system: tetragonal
E above lowest polymorph: 347.7 meV per atom
D(E_F): 10.6 states/eV/cell
DFT total energy: -6.6755 eV/atom

a = 8.2577 Å, b = 8.2577 Å, c = 6.2859 Å
α = 90.00°, β = 90.00°, γ = 90.00°
Closest atoms and distances in Å follow each position.
Space group I-42d (No. 122)
One atom of each set of equivalent atoms:
Y 0.2072 0.2500 0.1250 (multiplicity 8)  2 Cr 2.79
Sc 0.0000 0.0000 0.5000 (multiplicity 4)  2 Cr 3.14, 4 Y 3.27
Cr 0.0000 0.0000 0.0000 (multiplicity 4)  4 Y 2.79



(6)
YScCr2 after structural relaxation, computed with PBE-GGA.

Results
formation energy from the elements: 0.6356 eV/atom
calculated density: 4.71 g cm⁻³
crystal system: trigonal
E above lowest polymorph: 388.1 meV per atom
D(E_F): 10.9 states/eV/cell
DFT total energy: -7.3750 eV/atom

a = 3.2303 Å, b = 3.2303 Å, c = 27.8219 Å
α = 90.00°, β = 90.00°, γ = 120.00°
Closest atoms and distances in Å follow each position.
Space group R-3m (No. 166, hexagonal axes)
One atom of each set of equivalent atoms:
Y 0.0000 0.0000 0.0000 (multiplicity 3)  6 Cr 3.05, 6 Y 3.23
Sc 0.0000 0.0000 0.5000 (multiplicity 3)  6 Cr 2.90, 6 Sc 3.23
Cr 0.0000 0.0000 0.2465 (multiplicity 6)  3 Sc 2.90, 3 Y 3.05, 6 Cr 3.23



(7)
YScCr3 after structural relaxation, computed with PBE-GGA.

Results
formation energy from the elements: 1.1665 eV/atom
calculated density: 4.47 g cm⁻³
crystal system: cubic
E above lowest polymorph: 0.0 meV per atom
D(E_F): 5.3 states/eV/cell
DFT total energy: -7.1667 eV/atom

a = 4.7573 Å, b = 4.7573 Å, c = 4.7573 Å
α = 90.00°, β = 90.00°, γ = 90.00°
Closest atoms and distances in Å follow each position.
Space group Pm-3m (No. 221)
One atom of each set of equivalent atoms:
Y 0.0000 0.0000 0.0000 (multiplicity 1)  12 Cr 3.36
Sc 0.5000 0.5000 0.5000 (multiplicity 1)  6 Cr 2.38
Cr 0.0000 0.5000 0.5000 (multiplicity 3)  2 Sc 2.38



(8)
Y3ScCr after structural relaxation, computed with PBE-GGA.

Results
formation energy from the elements: 1.0090 eV/atom
calculated density: 3.73 g cm⁻³
crystal system: cubic
D(E_F): 3.5 states/eV/cell
DFT total energy: -6.0605 eV/atom

a = 5.4503 Å, b = 5.4503 Å, c = 5.4503 Å
α = 90.00°, β = 90.00°, γ = 90.00°
Closest atoms and distances in Å follow each position.
Space group Pm-3m (No. 221)
One atom of each set of equivalent atoms:
Y 0.0000 0.0000 0.5000 (multiplicity 3)  2 Sc 2.73
Sc 0.0000 0.0000 0.0000 (multiplicity 1)  6 Y 2.73
Cr 0.5000 0.5000 0.5000 (multiplicity 1)  12 Y 3.85



Among the records above, which one has the highest DFT total energy? Y3ScCr



Repeat the fourth record exactly.
Y2ScCr after structural relaxation, computed with PBE-GGA.

Results
formation energy from the elements: 0.2384 eV/atom
calculated density: 4.41 g cm⁻³
crystal system: tetragonal
E above lowest polymorph: 40.8 meV per atom
D(E_F): 5.1 states/eV/cell
DFT total energy: -6.9824 eV/atom

a = 3.6050 Å, b = 3.6050 Å, c = 7.9646 Å
α = 90.00°, β = 90.00°, γ = 90.00°
Closest atoms and distances in Å follow each position.
Space group P4/mmm (No. 123)
One atom of each set of equivalent atoms:
Y 0.0000 0.0000 0.2169 (multiplicity 2)  4 Cr 3.08, 4 Sc 3.40
Sc 0.5000 0.5000 0.5000 (multiplicity 1)  8 Y 3.40, 4 Sc 3.60
Cr 0.5000 0.5000 0.0000 (multiplicity 1)  8 Y 3.08